This record from Alexandria describes crystalline TlCoAsF6 at its relaxed geometry. The functional is PBE with a Hubbard U.

The structure belongs to space group P1 (No. 1); the cell edges are 5.627, 5.630 and 5.850 Å and the angles 89.81°, 89.16° and 61.10°. Symmetry generates all atoms from Tl at (0.000, 0.000, 0.000), Co at (0.330, 0.332, 0.483), As at (0.664, 0.668, 0.483), F at (0.039, 0.641, 0.311), F at (0.317, 0.032, 0.314), F at (0.419, 0.605, 0.679), F at (0.596, 0.976, 0.680), F at (0.653, 0.321, 0.320) and F at (0.958, 0.433, 0.680).

The total energy comes out at -4.6141 eV per atom. As for the density of states at the Fermi level: 0.000 states/eV per atom. For the total moment, the calculation gives 3.0 Bohr magnetons per cell. The value obtained for the volume is 162.2 Å³/f.u.